Computed, not measured: an optimized crystal structure of LaCoTcF2 at the PBE with a Hubbard U level of DFT.

Values from the calculation:
The value obtained for the density is 5.9 g cm⁻³. As for the space group: P4/mmm (123). Its total energy is -5.019 eV/atom. The calculation puts the calculated volume at 18.8 A^3/atom. For the spin magnetization, the calculation gives 1.7 μB per formula unit.

a = 3.816 Å, b = 3.816 Å, c = 6.455 Å
α = 90.00°, β = 90.00°, γ = 90.00°
Element x y z (fractional)
La 0.000 0.000 0.000
Co 0.000 0.000 0.500
Tc 0.500 0.500 0.000
F 0.000 0.500 0.500
F 0.500 0.000 0.500